[1]
This record from Alexandria via LeMat-Bulk describes a relaxed Ti2Cu2Au crystal. The functional is GGA-PBE.

Results
ΔE to the lowest computed polymorph, eV per formula unit: 0.00
Uncorrected energy, eV per atom: -5.61

a = 6.7652 Å, b = 6.7652 Å, c = 3.3099 Å
α = 90.00°, β = 90.00°, γ = 90.00°
Positions (direct):
Au 0.0000 0.0000 0.0000
Au 0.5000 0.5000 0.0000
Cu 0.3729 0.8729 0.0000
Cu 0.8729 0.6271 0.0000
Cu 0.6271 0.1271 0.0000
Cu 0.1271 0.3729 0.0000
Ti 0.1693 0.6693 0.5000
Ti 0.6693 0.8307 0.5000
Ti 0.8307 0.3307 0.5000
Ti 0.3307 0.1693 0.5000

[2]
This record from Alexandria via LeMat-Bulk describes a relaxed Nd7Sn3C2 crystal. The functional is GGA-PBE.

Results
Uncorrected energy, eV per atom: -5.81

a = 5.0135 Å, b = 5.1277 Å, c = 12.9885 Å
α = 101.38°, β = 90.00°, γ = 90.00°
Positions (direct):
Nd 0.0000 0.3974 0.7948
Nd 0.0000 0.7991 0.5981
Nd 0.0000 0.0000 0.0000
Nd 0.0000 0.6026 0.2052
Nd 0.5000 0.0968 0.1935
Nd 0.5000 0.9032 0.8065
Nd 0.0000 0.2009 0.4019
Sn 0.5000 0.5000 0.0000
Sn 0.5000 0.6903 0.3807
Sn 0.5000 0.3097 0.6193
C 0.0000 0.8974 0.7949
C 0.0000 0.1026 0.2051

[3]
This record from Alexandria via LeMat-Bulk describes a relaxed Ac2Si4Pt3Au crystal. The functional is GGA-PBE.

Results
Uncorrected energy, eV per atom: -6.09

a = 4.4204 Å, b = 4.4204 Å, c = 10.0646 Å
α = 90.00°, β = 90.00°, γ = 90.00°
Positions (direct):
Ac 0.5000 0.0000 0.2457
Ac 0.0000 0.5000 0.7543
Si 0.5000 0.5000 0.0000
Si 0.0000 0.0000 0.0000
Si 0.5000 0.0000 0.6347
Si 0.0000 0.5000 0.3653
Pt 0.0000 0.0000 0.5000
Pt 0.5000 0.0000 0.8852
Pt 0.0000 0.5000 0.1148
Au 0.5000 0.5000 0.5000

[4]
This record from Alexandria via LeMat-Bulk describes a relaxed AcGeRh2 crystal. The functional is GGA-PBE.

Results
Uncorrected energy, eV per atom: -6.46

a = 4.1215 Å, b = 4.8029 Å, c = 4.8029 Å
α = 104.78°, β = 90.00°, γ = 90.00°
Positions (direct):
Ac 0.0000 0.0000 0.0000
Ge 0.5000 0.5000 0.5000
Rh 0.5000 0.5000 0.0000
Rh 0.5000 0.0000 0.5000

[5]
This record from Alexandria via LeMat-Bulk describes a relaxed MnAgBr2 crystal. The functional is GGA-PBE.

Results
ΔE to the lowest computed polymorph, eV per formula unit: 0.69
Uncorrected energy, eV per atom: -3.91

a = 3.6352 Å, b = 3.6352 Å, c = 10.1731 Å
α = 90.00°, β = 90.00°, γ = 120.12°
Each line ends with the local moment (μB).
Positions (direct):
Ag 0.5000 0.5000 0.7500  0.01
Br 0.0000 0.0000 0.0730  0.10
Br 0.0000 0.0000 0.4270  0.10
Mn 0.5000 0.5000 0.2500  4.28

[6]
This record from Alexandria via LeMat-Bulk describes a relaxed BePtS2 crystal. The functional is GGA-PBE.

Results
Uncorrected energy, eV per atom: -4.55

a = 6.6313 Å, b = 6.6313 Å, c = 6.6313 Å
α = 32.73°, β = 32.73°, γ = 32.73°
Positions (direct):
Be 0.0000 0.0000 0.0000
S 0.8979 0.8979 0.8979
S 0.1021 0.1021 0.1021
Pt 0.5000 0.5000 0.5000

[7]
This record from Alexandria via LeMat-Bulk describes a relaxed Os2RuCl crystal. The functional is GGA-PBE.

Results
ΔE to the lowest computed polymorph, eV per formula unit: 2.49
Uncorrected energy, eV per atom: -7.26

a = 2.7707 Å, b = 4.6006 Å, c = 4.6646 Å
α = 90.00°, β = 90.00°, γ = 90.00°
Positions (direct):
Cl 0.0000 0.5000 0.5000
Os 0.0000 0.0000 0.0000
Os 0.5000 0.5000 0.0000
Ru 0.5000 0.0000 0.5000

[8]
This record from Alexandria via LeMat-Bulk describes a relaxed CuTcPt2 crystal. The functional is GGA-PBE.

Results
ΔE to the lowest computed polymorph, eV per formula unit: 0.63
Uncorrected energy, eV per atom: -6.67

a = 2.7366 Å, b = 3.8826 Å, c = 5.4953 Å
α = 90.00°, β = 90.00°, γ = 90.00°
Positions (direct):
Cu 0.5000 0.5000 0.7541
Pt 0.0000 0.0000 0.9809
Pt 0.5000 0.5000 0.2708
Tc 0.0000 0.0000 0.4942

no.,total magnetic moment (μB/f.u.)
1,0.00
2,0.00
3,0.00
4,0.00
5,4.89
6,0.00
7,0.00
8,0.00